Computed, not measured: a relaxed structure of Cu3GeSe2S2 at the PBE-GGA level of DFT. Values from VASP.

Results
mass density = 5038 kg/m3
total DFT energy (no corrections) = -33.35 eV per formula unit
space-group type = Fmm2, No. 42

Geometry as Quantum ESPRESSO input:
```
&SYSTEM
  ibrav = 0, nat = 8, ntyp = 4
/
ATOMIC_SPECIES
Cu 63.55 Cu.upf
Ge 72.64 Ge.upf
Se 78.96 Se.upf
S 32.06 S.upf
CELL_PARAMETERS angstrom
0.0000 3.8691 5.4747
3.7757 0.0000 5.4747
3.7757 3.8691 0.0000
ATOMIC_POSITIONS angstrom
Cu 0.0000 0.0000 0.0000
Cu 1.8879 1.9345 2.4853
Cu 5.6636 5.8036 7.9600
Ge 3.7757 3.8691 5.4019
Se 3.7757 1.9004 3.9833
Se 3.7757 5.8378 3.9833
S 5.6417 3.8691 6.7485
S 1.9097 3.8691 6.7485
```

---

Computed, not measured: a relaxed structure of PrSiGePt2 at the PBE-GGA level of DFT. Values from VASP.

Results
relative energy among the computed polymorphs = 0.007 eV per atom
mass density = 11148 kg/m3
space-group type = P4/nmm, No. 129
magnetization = 0.00 μB per formula unit

Geometry as Quantum ESPRESSO input:
```
&SYSTEM
  ibrav = 0, nat = 10, ntyp = 4
/
ATOMIC_SPECIES
Pr 140.91 Pr.upf
Si 28.09 Si.upf
Ge 72.64 Ge.upf
Pt 195.08 Pt.upf
CELL_PARAMETERS angstrom
4.3384 0.0000 0.0000
0.0000 4.3384 0.0000
0.0000 0.0000 10.0000
ATOMIC_POSITIONS angstrom
Pr 1.0846 1.0846 2.4349
Pr 3.2538 3.2538 7.5651
Si 1.0846 3.2538 0.0000
Si 3.2538 1.0846 0.0000
Ge 1.0846 1.0846 6.3605
Ge 3.2538 3.2538 3.6396
Pt 1.0846 1.0846 8.8724
Pt 1.0846 3.2538 5.0000
Pt 3.2538 1.0846 5.0000
Pt 3.2538 3.2538 1.1277
```

---

Computed, not measured: a relaxed structure of MgScGa2Cu4 at the PBE-GGA level of DFT. Values from VASP.

Results
mass density = 6629 kg/m3
total DFT energy (no corrections) = -30.79 eV per formula unit
space-group type = P4/mmm, No. 123
magnetization = 0.00 μB per formula unit

Geometry as Quantum ESPRESSO input:
```
&SYSTEM
  ibrav = 0, nat = 8, ntyp = 4
/
ATOMIC_SPECIES
Mg 24.30 Mg.upf
Sc 44.96 Sc.upf
Ga 69.72 Ga.upf
Cu 63.55 Cu.upf
CELL_PARAMETERS angstrom
4.3406 0.0000 0.0000
0.0000 4.3406 0.0000
0.0000 0.0000 6.1545
ATOMIC_POSITIONS angstrom
Mg 0.0000 0.0000 0.0000
Sc 2.1703 2.1703 3.0773
Ga 0.0000 0.0000 3.0773
Ga 2.1703 2.1703 0.0000
Cu 0.0000 2.1703 1.5102
Cu 0.0000 2.1703 4.6443
Cu 2.1703 0.0000 1.5102
Cu 2.1703 0.0000 4.6443
```

---

Computed, not measured: a relaxed structure of GdTmTlPd2 at the PBE-GGA level of DFT. Values from VASP.

Results
mass density = 10879 kg/m3
total DFT energy (no corrections) = -25.67 eV per formula unit
space-group type = Amm2, No. 38
magnetization = 0.01 μB per formula unit

Geometry as Quantum ESPRESSO input:
```
&SYSTEM
  ibrav = 0, nat = 5, ntyp = 4
/
ATOMIC_SPECIES
Gd 157.25 Gd.upf
Tm 168.93 Tm.upf
Tl 204.38 Tl.upf
Pd 106.42 Pd.upf
CELL_PARAMETERS angstrom
3.6501 0.0000 0.0000
0.0000 2.0652 7.5264
0.0000 -2.0652 7.5264
ATOMIC_POSITIONS angstrom
Gd 0.0000 0.0000 0.0000
Tm 0.0000 0.0000 4.0570
Tl 1.8250 0.0000 9.5524
Pd 1.8250 0.0000 6.6478
Pd 1.8250 0.0000 12.3846
```

---

Computed, not measured: a relaxed structure of Pr3CdIn2AgPt2 at the PBE-GGA level of DFT. Values from VASP.

Results
mass density = 9616 kg/m3
total DFT energy (no corrections) = -42.40 eV per formula unit
space-group type = Amm2, No. 38
magnetization = 0.01 μB per formula unit

Geometry as Quantum ESPRESSO input:
```
&SYSTEM
  ibrav = 0, nat = 9, ntyp = 5
/
ATOMIC_SPECIES
Pr 140.91 Pr.upf
Cd 112.41 Cd.upf
In 114.82 In.upf
Ag 107.87 Ag.upf
Pt 195.08 Pt.upf
CELL_PARAMETERS angstrom
4.0844 0.0000 0.0000
0.0000 6.7865 3.9336
0.0000 -6.7865 3.9336
ATOMIC_POSITIONS angstrom
Pr 0.0000 0.0000 0.0000
Pr 0.0000 -2.8150 4.9223
Pr 0.0000 2.8150 4.9223
Cd 2.0422 0.0000 5.3125
In 2.0422 -1.7261 2.2784
In 2.0422 1.7261 2.2784
Ag 0.0000 0.0000 3.2789
Pt 2.0422 -4.4960 3.3114
Pt 2.0422 4.4960 3.3114
```

---

Computed, not measured: a relaxed structure of PmBeNi at the PBE-GGA level of DFT. Values from VASP.

Results
mass density = 5402 kg/m3
total DFT energy (no corrections) = -11.73 eV per formula unit
space-group type = F-43m, No. 216
magnetization = 0.00 μB per formula unit

Geometry as Quantum ESPRESSO input:
```
&SYSTEM
  ibrav = 0, nat = 3, ntyp = 3
/
ATOMIC_SPECIES
Pm 145.00 Pm.upf
Be 9.01 Be.upf
Ni 58.69 Ni.upf
CELL_PARAMETERS angstrom
0.0000 3.1975 3.1975
3.1975 0.0000 3.1975
3.1975 3.1975 0.0000
ATOMIC_POSITIONS angstrom
Pm 0.0000 0.0000 0.0000
Be 4.7962 4.7962 4.7962
Ni 1.5987 1.5987 1.5987
```